WO2 | GGA+U | optimized geometry

a b c (Å): 3.098 3.098 11.496
angles (deg): 90.00 90.00 120.00
Fractional positions:
W  0.333  0.667  0.250
W  0.667  0.333  0.750
O  0.333  0.667  0.093
O  0.333  0.667  0.407
O  0.667  0.333  0.593
O  0.667  0.333  0.907

Properties
**Total energy**: -33.6 eV for the cell shown
**Theoretical density**: 7.50 Mg/m³
**DOS at the Fermi energy**: 2.53 states/eV/f.u.